# 1
DFT (PBE) results for crystalline LiP2 at its relaxed geometry.

Calculated values
The symmetry is No. 63. Its spin magnetization is 0.000 Bohr magnetons per cell. The value obtained for the density of states at the Fermi level is 1.7 states/eV per cell. Its final energy is -4.483 eV/atom. The formation energy is -69 kJ/mol of formula units.

Unit cell a=3.4652 b=17.2726 c=3.2568 alpha=90.00 beta=90.00 gamma=90.00
Last column: nearest neighbours and their distance in Å.
Element x y z (fractional)
Li 0.0000 0.1273 0.2500  8 P 2.68-2.80
Li 0.0000 0.8727 0.7500  8 P 2.68-2.80
Li 0.5000 0.3727 0.7500  8 P 2.68-2.80
Li 0.5000 0.6273 0.2500  8 P 2.68-2.80
P 0.0000 0.2547 0.7500  4 P 2.38
P 0.0000 0.4584 0.2500  2 P 2.17
P 0.0000 0.5416 0.7500  2 P 2.17
P 0.0000 0.7453 0.2500  4 P 2.38
P 0.5000 0.0416 0.7500  2 P 2.17
P 0.5000 0.2453 0.2500  4 P 2.38
P 0.5000 0.7547 0.7500  4 P 2.38
P 0.5000 0.9584 0.2500  2 P 2.17

***

# 2
DFT (PBE) results for crystalline InMo2Os at its relaxed geometry.

Calculated values
The symmetry is No. 119. Its spin magnetization is 0.000 Bohr magnetons per cell. The value obtained for the density of states at the Fermi level is 5.2 states/eV per cell. Its final energy is -8.522 eV/atom. The formation energy is 149 kJ/mol of formula units.

Unit cell a=4.0140 b=4.0140 c=8.1665 alpha=90.00 beta=90.00 gamma=90.00
Last column: nearest neighbours and their distance in Å.
Element x y z (fractional)
In 0.0000 0.0000 0.0000  8 Mo 2.84-2.86, 4 Os 2.86
In 0.5000 0.5000 0.5000  8 Mo 2.84-2.86, 4 Os 2.86
Mo 0.0000 0.0000 0.5000  4 In 2.84, 4 Mo 2.86, 4 Os 2.86
Mo 0.0000 0.5000 0.7500  4 Os 2.84, 4 In 2.86, 4 Mo 2.86
Mo 0.5000 0.0000 0.2500  4 Os 2.84, 4 In 2.86, 4 Mo 2.86
Mo 0.5000 0.5000 0.0000  4 In 2.84, 4 Mo 2.86, 4 Os 2.86
Os 0.0000 0.5000 0.2500  8 Mo 2.84-2.86, 4 In 2.86
Os 0.5000 0.0000 0.7500  8 Mo 2.84-2.86, 4 In 2.86

***

# 3
DFT (PBE) results for crystalline NdEuAg at its relaxed geometry.

Calculated values
The symmetry is No. 107. Its spin magnetization is 15.248 Bohr magnetons per cell. The value obtained for the density of states at the Fermi level is 7.4 states/eV per cell. Its final energy is -6.105 eV/atom. The formation energy is -41 kJ/mol of formula units.

Unit cell a=3.7924 b=3.7924 c=13.0475 alpha=90.00 beta=90.00 gamma=90.00
Last column: nearest neighbours and their distance in Å.
Element x y z (fractional)
Nd 0.0000 0.0000 0.0000  4 Ag 3.19
Nd 0.5000 0.5000 0.5000  4 Ag 3.19
Eu 0.0000 0.0000 0.7175  4 Ag 3.32, 1 Nd 3.69
Eu 0.5000 0.5000 0.2175  4 Ag 3.32, 1 Nd 3.69
Ag 0.0000 0.0000 0.3678  4 Nd 3.19, 4 Eu 3.32
Ag 0.5000 0.5000 0.8678  4 Nd 3.19, 4 Eu 3.32

***

# 4
DFT (PBE) results for crystalline Mg3BeW at its relaxed geometry.

Calculated values
The symmetry is No. 221. Its spin magnetization is 0.000 Bohr magnetons per cell. The value obtained for the density of states at the Fermi level is 3.3 states/eV per cell. Its final energy is -3.136 eV/atom. The formation energy is 558 kJ/mol of formula units.

Unit cell a=4.5149 b=4.5149 c=4.5149 alpha=90.00 beta=90.00 gamma=90.00
Last column: nearest neighbours and their distance in Å.
Element x y z (fractional)
Mg 0.0000 0.0000 0.5000  2 Be 2.26
Mg 0.0000 0.5000 0.0000  2 Be 2.26
Mg 0.5000 0.0000 0.0000  2 Be 2.26
Be 0.0000 0.0000 0.0000  6 Mg 2.26
W 0.5000 0.5000 0.5000  12 Mg 3.19